No. 1
# AcLa12Nd5

Crystalline AcLa12Nd5 at its relaxed geometry (GGA-PBE, Alexandria via LeMat-Bulk).

Output
The formation enthalpy at 0 K is 67 meV/atom. The crystal system is monoclinic. The space group is C2/m, No. 12. The value obtained for the electronic total energy is -85.9 eV per cell. Its calculated density is 6.54 g cm⁻³.

Unit cell a=12.516 b=10.813 c=6.016 alpha=90.27 beta=90.47 gamma=54.64
Fractional positions:
Nd  0.140  0.721  0.500
Nd  0.364  0.271  0.000
Nd  0.860  0.279  0.500
Nd  0.636  0.729  0.000
Nd  0.500  0.000  0.500
La  0.971  0.361  0.991
La  0.204  0.000  0.555
La  0.475  0.356  0.509
La  0.169  0.356  0.491
La  0.796  0.000  0.445
La  0.668  0.361  0.009
La  0.831  0.644  0.509
La  0.029  0.639  0.009
La  0.525  0.644  0.491
La  0.696  0.000  0.946
La  0.332  0.639  0.991
La  0.304  0.000  0.054
Ac  0.000  0.000  0.000

No. 2
# KBa3Au2

Crystalline KBa3Au2 at its relaxed geometry (GGA-PBE, Alexandria via LeMat-Bulk).

Output
The formation enthalpy at 0 K is -405 meV/atom. The energy above the most stable polymorph in this dataset is 0.047 eV/atom. The crystal system is orthorhombic. The space group is Cmcm, No. 63. The value obtained for the electronic total energy is -31.7 eV per cell. Its calculated density is 4.77 g cm⁻³.

Unit cell a=8.801 b=9.112 c=8.377 alpha=90.00 beta=90.00 gamma=118.87
Fractional positions:
Au  0.840  0.680  0.000
Au  0.160  0.320  0.500
Au  0.160  0.320  0.000
Au  0.840  0.680  0.500
Ba  0.488  0.518  0.250
Ba  0.970  0.482  0.250
Ba  0.512  0.482  0.750
Ba  0.939  0.000  0.250
Ba  0.061  0.000  0.750
Ba  0.030  0.518  0.750
K  0.413  0.000  0.250
K  0.587  0.000  0.750

No. 3
# ReNiRu

Crystalline ReNiRu at its relaxed geometry (GGA-PBE, Alexandria via LeMat-Bulk).

Output
The formation enthalpy at 0 K is 28 meV/atom. The energy above the most stable polymorph in this dataset is 0.041 eV/atom. The crystal system is monoclinic. The space group is Cm, No. 8. The value obtained for the electronic total energy is -109.7 eV per cell. Its calculated density is 14.35 g cm⁻³.

Unit cell a=5.294 b=3.773 c=8.477 alpha=90.00 beta=108.88 gamma=90.00
Fractional positions:
Ni  0.857  0.500  0.839
Ni  0.694  0.000  0.002
Ni  0.857  0.000  0.339
Ni  0.694  0.500  0.502
Re  0.364  0.000  0.337
Re  0.022  0.500  0.175
Re  0.022  0.000  0.675
Re  0.364  0.500  0.837
Ru  0.184  0.000  0.001
Ru  0.535  0.000  0.669
Ru  0.535  0.500  0.169
Ru  0.184  0.500  0.501

No. 4
# CaTbPa2O8

Crystalline CaTbPa2O8 at its relaxed geometry (GGA-PBE, Alexandria via LeMat-Bulk).

Output
The crystal system is tetragonal. The space group is I-4m2, No. 119. The value obtained for the electronic total energy is -106.0 eV per cell. Its calculated density is 8.22 g cm⁻³. Its uncorrected formation energy is -40.74 eV per formula unit.

Unit cell a=5.445 b=5.445 c=6.612 alpha=114.31 beta=114.31 gamma=90.00
Fractional positions:
O  0.143  0.630  0.753
O  0.370  0.857  0.247
O  0.877  0.857  0.247
O  0.610  0.630  0.753
O  0.143  0.123  0.753
O  0.370  0.389  0.247
O  0.877  0.390  0.247
O  0.611  0.123  0.753
Pa  0.500  0.500  0.000
Pa  0.250  0.750  0.500
Ca  0.750  0.250  0.500
Tb  0.000  0.000  0.000